DFT (PBE) results for crystalline Zr4Ir3 at its relaxed geometry.

Cell: 3.4304 3.4304 22.5447 Å, 90.00 90.00 90.00°
Closest atoms and distances in Å follow each position.
Element x y z (fractional)
Zr 0.0000 0.0000 0.0685  5 Ir 2.88-3.20, 5 Zr 3.09-3.12
Zr 0.0000 0.0000 0.3442  5 Ir 2.72-3.02
Zr 0.0000 0.0000 0.6558  5 Ir 2.72-3.02
Zr 0.0000 0.0000 0.9315  5 Ir 2.88-3.20, 5 Zr 3.09-3.12
Zr 0.5000 0.5000 0.1558  5 Ir 2.72-3.02
Zr 0.5000 0.5000 0.4315  5 Ir 2.88-3.20, 5 Zr 3.09-3.12
Zr 0.5000 0.5000 0.5685  5 Ir 2.88-3.20, 5 Zr 3.09-3.12
Zr 0.5000 0.5000 0.8442  5 Ir 2.72-3.02
Ir 0.0000 0.0000 0.2102  5 Zr 2.72-3.02, 4 Ir 3.02
Ir 0.0000 0.0000 0.5000  8 Zr 2.88
Ir 0.0000 0.0000 0.7898  5 Zr 2.72-3.02, 4 Ir 3.02
Ir 0.5000 0.5000 0.0000  8 Zr 2.88
Ir 0.5000 0.5000 0.2898  5 Zr 2.72-3.02, 4 Ir 3.02
Ir 0.5000 0.5000 0.7102  5 Zr 2.72-3.02, 4 Ir 3.02

Density of states at the Fermi level = 16.37 states/eV/cell
Calculated formation energy = -0.47 eV per atom
Energy above the most stable polymorph in this dataset = 0.238 eV/atom
Total magnetic moment = 0.00 μB/f.u.

DFT (PBE) results for crystalline La3HoEr2Bi6 at its relaxed geometry.

Cell: 7.9490 7.9490 7.9048 Å, 99.64 99.64 119.99°
Closest atoms and distances in Å follow each position.
Element x y z (fractional)
La 0.0000 0.0000 0.0000  6 Bi 3.30
La 0.3335 0.6665 0.0000  6 Bi 3.30
La 0.6665 0.3335 0.0000  6 Bi 3.30
Ho 0.5000 0.5000 0.5000  6 Bi 3.18
Er 0.1667 0.8333 0.5000  6 Bi 3.18
Er 0.8333 0.1667 0.5000  6 Bi 3.18
Bi 0.0876 0.4215 0.2645  2 Er 3.18, 1 Ho 3.18, 3 La 3.30
Bi 0.2445 0.2445 0.7353  2 Er 3.18, 1 Ho 3.18, 3 La 3.30
Bi 0.4215 0.0876 0.2645  2 Er 3.18, 1 Ho 3.18, 3 La 3.30
Bi 0.5785 0.9124 0.7355  2 Er 3.18, 1 Ho 3.18, 3 La 3.30
Bi 0.7555 0.7555 0.2647  2 Er 3.18, 1 Ho 3.18, 3 La 3.30
Bi 0.9124 0.5785 0.7355  2 Er 3.18, 1 Ho 3.18, 3 La 3.30

Density of states at the Fermi level = 2.30 states/eV/cell
Calculated formation energy = -0.93 eV per atom
Total magnetic moment = 0.00 μB/f.u.

DFT (PBE) results for crystalline TcTeN2Cl at its relaxed geometry.

Cell: 3.8872 3.8872 5.7082 Å, 90.00 90.00 90.00°
Closest atoms and distances in Å follow each position.
Element x y z (fractional)
Tc 0.0000 0.0000 0.0000  4 N 1.94
Te 0.0000 0.0000 0.5000  4 Cl 2.75, 2 Tc 2.85
N 0.0000 0.5000 0.0000  2 Tc 1.94
N 0.5000 0.0000 0.0000  2 Tc 1.94
Cl 0.5000 0.5000 0.5000  4 Te 2.75

Density of states at the Fermi level = 4.02 states/eV/cell
E_form (uncorrected) = 2.855 eV/f.u.
Energy above the most stable polymorph in this dataset = 0.000 eV/atom
Total magnetic moment = 0.00 μB/f.u.

DFT (PBE) results for crystalline CuICl2 at its relaxed geometry.

Cell: 6.5915 6.7696 7.5697 Å, 104.40 107.45 109.44°
Closest atoms and distances in Å follow each position.
Element x y z (fractional)
Cu 0.0000 0.0000 0.0000  4 Cl 2.27-2.28
Cu 0.0815 0.4761 0.0289  3 Cl 2.22-2.28
I 0.2331 0.7388 0.4143  1 Cu 2.68, 1 Cl 2.73, 1 I 2.79
I 0.5407 0.5695 0.5826  1 I 2.79
Cl 0.1810 0.7719 0.9401  2 Cu 2.22-2.28
Cl 0.1815 0.2223 0.8586  2 Cu 2.28
Cl 0.7726 0.1894 0.0113  2 Cu 2.24-2.28
Cl 0.9262 0.8973 0.2467  1 Cu 2.27

Density of states at the Fermi level = 4.45 states/eV/cell
E_form (uncorrected) = -1.261 eV/f.u.
Energy above the most stable polymorph in this dataset = 0.034 eV/atom
Total magnetic moment = 0.01 μB/f.u.